[1]
Computed, not measured: an optimized crystal structure of As2OsRu at the PBE level of DFT.

Geometry as extended XYZ:
```
4
Lattice="2.908 0.000 0.000 0.000 2.908 0.000 0.000 0.000 8.276" Properties=species:S:1:pos:R:3 pbc="T T T"
As 0.000 0.000 0.000
As 1.454 1.454 3.270
Os 0.000 0.000 4.836
Ru 1.454 1.454 6.719
```

Summary:
As for the symmetry: P4mm. Its energy above the most stable polymorph in this dataset is 0 meV/atom.



[2]
Computed, not measured: an optimized crystal structure of As6OsRu at the PBE level of DFT.

Geometry as extended XYZ:
```
16
Lattice="6.071 -4.298 0.000 6.071 4.298 0.000 -6.070 0.000 6.083" Properties=species:S:1:pos:R:3 pbc="T T T"
As 5.147 3.034 0.929
As 0.927 3.034 5.154
As 2.146 1.312 2.145
As -0.042 0.000 4.264
As -1.818 0.000 6.060
As 3.927 1.312 3.938
As 2.146 -1.312 2.145
As 7.891 0.000 0.023
As 6.115 0.000 1.819
As 3.927 -1.312 3.938
As 5.147 -3.034 0.929
As 0.927 -3.034 5.154
Os 0.001 2.149 3.042
Os 0.001 -2.149 3.042
Ru 3.036 2.149 0.000
Ru 3.036 -2.149 0.000
```

Summary:
As for the symmetry: C2/m. The total energy comes out at -6.1879 eV per atom.



[3]
Computed, not measured: an optimized crystal structure of AsOs2Ru at the PBE level of DFT.

Geometry as extended XYZ:
```
4
Lattice="2.831 0.000 0.000 0.000 4.025 0.000 -1.305 0.000 5.120" Properties=species:S:1:pos:R:3 pbc="T T T"
As 0.000 0.000 0.000
Os 0.731 2.013 1.255
Os 0.795 2.013 3.865
Ru -0.653 0.000 2.560
```

Summary:
As for the symmetry: P2/m. The total energy comes out at -8.7777 eV per atom.



[4]
Computed, not measured: an optimized crystal structure of As3OsRu at the PBE level of DFT.

Geometry as extended XYZ:
```
5
Lattice="4.726 0.000 0.000 0.000 4.726 0.000 0.000 0.000 4.726" Properties=species:S:1:pos:R:3 pbc="T T T"
As 0.000 0.000 2.363
As 0.000 2.363 0.000
As 2.363 0.000 0.000
Os 0.000 0.000 0.000
Ru 2.363 2.363 2.363
```

Summary:
As for the symmetry: Pm-3m. Its energy above the most stable polymorph in this dataset is 0 meV/atom.



[5]
Computed, not measured: an optimized crystal structure of AsOs2Ru at the PBE level of DFT.

Geometry as extended XYZ:
```
12
Lattice="2.821 0.000 0.000 -1.410 2.443 0.000 0.000 0.000 25.210" Properties=species:S:1:pos:R:3 pbc="T T T"
As 0.000 0.000 0.000
As 0.000 1.628 16.807
As 1.410 0.814 8.403
Os 0.000 0.000 6.308
Os 0.000 0.000 12.575
Os 0.000 1.628 4.171
Os 0.000 1.628 23.115
Os 1.410 0.814 14.712
Os 1.410 0.814 20.978
Ru 0.000 0.000 18.789
Ru 0.000 1.628 10.385
Ru 1.410 0.814 1.982
```

Summary:
As for the symmetry: R3m. The total energy comes out at -8.8367 eV per atom.



[6]
Computed, not measured: an optimized crystal structure of As4OsRu at the PBE level of DFT.

Geometry as extended XYZ:
```
6
Lattice="0.000 3.718 3.718 3.718 0.000 3.718 3.718 3.718 0.000" Properties=species:S:1:pos:R:3 pbc="T T T"
As 0.930 0.930 0.930
As 2.789 2.789 0.930
As 2.789 0.930 2.789
As 0.930 2.789 2.789
Os 5.578 5.578 5.578
Ru 3.718 3.718 3.718
```

Summary:
As for the symmetry: F-43m. The total energy comes out at -5.3475 eV per atom.



[7]
Computed, not measured: an optimized crystal structure of AsOs2Ru at the PBE level of DFT.

Geometry as extended XYZ:
```
4
Lattice="4.493 0.000 0.000 0.000 4.493 0.000 0.000 0.000 2.890" Properties=species:S:1:pos:R:3 pbc="T T T"
As 0.000 0.000 0.000
Os 0.000 2.246 1.445
Os 2.246 0.000 1.445
Ru 2.246 2.246 0.000
```

Summary:
As for the symmetry: P4/mmm. The total energy comes out at -8.5495 eV per atom.



[8]
Computed, not measured: an optimized crystal structure of AsOsRu3 at the PBE level of DFT.

Geometry as extended XYZ:
```
5
Lattice="4.675 0.000 0.000 0.000 4.675 0.000 0.000 0.000 4.675" Properties=species:S:1:pos:R:3 pbc="T T T"
As 0.000 0.000 0.000
Os 2.337 2.337 2.337
Ru 0.000 2.337 2.337
Ru 2.337 0.000 2.337
Ru 2.337 2.337 0.000
```

Summary:
As for the symmetry: Pm-3m. Its energy above the most stable polymorph in this dataset is 224 meV/atom.



[9]
Computed, not measured: an optimized crystal structure of As2OsRu at the PBE level of DFT.

Geometry as extended XYZ:
```
4
Lattice="4.372 0.000 0.000 0.000 4.372 0.000 0.000 0.000 3.085" Properties=species:S:1:pos:R:3 pbc="T T T"
As 0.000 2.186 0.000
As 2.186 0.000 0.000
Os 0.000 0.000 1.543
Ru 2.186 2.186 1.543
```

Summary:
As for the symmetry: P4/mmm. Its energy above the most stable polymorph in this dataset is 166 meV/atom.



[10]
Computed, not measured: an optimized crystal structure of As2OsRu at the PBE level of DFT.

Geometry as extended XYZ:
```
4
Lattice="2.979 0.000 0.000 0.000 3.886 0.000 0.000 0.000 5.242" Properties=species:S:1:pos:R:3 pbc="T T T"
As 0.000 0.000 0.000
As 1.490 1.943 1.885
Os 0.000 0.000 2.675
Ru 1.490 1.943 4.472
```

Summary:
As for the symmetry: Pmm2. Its energy above the most stable polymorph in this dataset is 64 meV/atom.



[11]
Computed, not measured: an optimized crystal structure of AsOs2Ru at the PBE level of DFT.

Geometry as extended XYZ:
```
4
Lattice="3.789 0.000 0.000 0.000 3.789 0.000 0.000 0.000 4.079" Properties=species:S:1:pos:R:3 pbc="T T T"
As 0.000 0.000 0.000
Os 0.000 1.895 2.039
Os 1.895 0.000 2.039
Ru 1.895 1.895 0.000
```

Summary:
As for the symmetry: P4/mmm. The total energy comes out at -8.4791 eV per atom.



[12]
Computed, not measured: an optimized crystal structure of As2OsRu at the PBE level of DFT.

Geometry as extended XYZ:
```
12
Lattice="2.997 0.000 0.000 -1.499 2.596 0.000 0.000 0.000 23.166" Properties=species:S:1:pos:R:3 pbc="T T T"
As 0.000 0.000 5.776
As 0.000 0.000 17.390
As 0.000 1.730 9.668
As 0.000 1.730 21.220
As 1.499 0.865 1.946
As 1.499 0.865 13.498
Os 0.000 0.000 0.000
Os 0.000 1.730 15.444
Os 1.499 0.865 7.722
Ru 0.000 0.000 11.583
Ru 0.000 1.730 3.861
Ru 1.499 0.865 19.305
```

Summary:
As for the symmetry: R-3m. Its energy above the most stable polymorph in this dataset is 120 meV/atom.



Calculated volume / A^3/atom: 17.50 19.84 14.59 21.11 14.47 17.14 14.58 20.43 14.74 15.17 14.64 15.02
Total magnetic moment / Bohr magnetons per cell: 0.00 0.00 0.00 0.00 0.00 0.55 0.00 0.00 0.00 0.00 0.00 0.00
D(E_F) / states/eV per cell: 2.42 15.26 3.52 3.92 12.34 7.64 3.85 6.72 2.80 2.58 6.72 11.17